1.
# Hg6H2I PBE relaxed
# VASP energy, eV per atom: -0.93
data_Hg6H2I
_space_group_name_H-M_alt 'C 1 2/m 1'
_space_group_IT_number 12
_space_group_name_Hall '-C 2y'
_cell_length_a 7.2873
_cell_length_b 11.9920
_cell_length_c 5.5915
_cell_angle_alpha 90.00
_cell_angle_beta 100.27
_cell_angle_gamma 90.00
loop_
_atom_site_label
_atom_site_type_symbol
_atom_site_fract_x
_atom_site_fract_y
_atom_site_fract_z
Hg1 Hg 0.0000 0.1589 0.0000
Hg2 Hg 0.0985 0.3658 0.7354
H1 H 0.1718 0.5000 0.9214
I1 I 0.0000 0.0000 0.5000

2.
# K2TaSe PBE relaxed
# VASP energy, eV per atom: -3.78
# Formation energy from raw total energies, eV per atom: 0.604
data_K2TaSe
_space_group_name_H-M_alt 'R -3 m'
_space_group_IT_number 166
_space_group_name_Hall '-R 3 2"'
_cell_length_a 3.1911
_cell_length_b 3.1911
_cell_length_c 35.2757
_cell_angle_alpha 90.00
_cell_angle_beta 90.00
_cell_angle_gamma 120.00
loop_
_atom_site_label
_atom_site_type_symbol
_atom_site_fract_x
_atom_site_fract_y
_atom_site_fract_z
K1 K 0.0000 0.0000 0.2407
Ta1 Ta 0.0000 0.0000 0.0000
Se1 Se 0.0000 0.0000 0.5000

3.
# LiLa2P3Pt12 PBE relaxed
# VASP energy, eV per atom: -6.11
# E_form, meV/atom: -524
data_LiLa2P3Pt12
_space_group_name_H-M_alt 'R -3 m'
_space_group_IT_number 166
_space_group_name_Hall '-R 3 2"'
_cell_length_a 8.2627
_cell_length_b 8.2627
_cell_length_c 17.7862
_cell_angle_alpha 90.00
_cell_angle_beta 90.00
_cell_angle_gamma 120.00
loop_
_atom_site_label
_atom_site_type_symbol
_atom_site_fract_x
_atom_site_fract_y
_atom_site_fract_z
Li1 Li 0.0000 0.0000 0.0000
La1 La 0.0000 0.0000 0.3808
P1 P 0.0000 0.5000 0.5000
Pt1 Pt 0.0112 0.5056 0.6273
Pt2 Pt 0.0369 0.5184 0.8607

4.
# Y2MgP PBE relaxed
# Distance to the lowest polymorph of the same formula, meV per atom: 435
# VASP energy, eV per atom: -5.33
# E_form, meV/atom: -343
data_Y2MgP
_space_group_name_H-M_alt 'F m -3 m'
_space_group_IT_number 225
_space_group_name_Hall '-F 4 2 3'
_cell_length_a 7.1952
_cell_length_b 7.1952
_cell_length_c 7.1952
_cell_angle_alpha 90.00
_cell_angle_beta 90.00
_cell_angle_gamma 90.00
loop_
_atom_site_label
_atom_site_type_symbol
_atom_site_fract_x
_atom_site_fract_y
_atom_site_fract_z
Y1 Y 0.2500 0.2500 0.2500
Mg1 Mg 0.0000 0.0000 0.0000
P1 P 0.0000 0.0000 0.5000

5.
# Pm2TeAs3Rh4 PBE relaxed
# VASP energy, eV per atom: -6.43
# Formation energy from raw total energies, eV per atom: -0.829
data_Pm2TeAs3Rh4
_space_group_name_H-M_alt 'P -4 m 2'
_space_group_IT_number 115
_space_group_name_Hall 'P -4 -2'
_cell_length_a 4.2568
_cell_length_b 4.2568
_cell_length_c 10.6418
_cell_angle_alpha 90.00
_cell_angle_beta 90.00
_cell_angle_gamma 90.00
loop_
_atom_site_label
_atom_site_type_symbol
_atom_site_fract_x
_atom_site_fract_y
_atom_site_fract_z
Pm1 Pm 0.0000 0.5000 0.2339
Te1 Te 0.0000 0.0000 0.5000
As1 As 0.0000 0.5000 0.8665
As2 As 0.5000 0.5000 0.5000
Rh1 Rh 0.0000 0.0000 0.0000
Rh2 Rh 0.0000 0.5000 0.6395
Rh3 Rh 0.5000 0.5000 0.0000

6.
# Cs2Cd2RuO6 PBE relaxed
# VASP energy, eV per atom: -4.89
# Formation energy from raw total energies, eV per atom: -1.020
data_Cs2Cd2RuO6
_space_group_name_H-M_alt 'C 1 2/m 1'
_space_group_IT_number 12
_space_group_name_Hall '-C 2y'
_cell_length_a 5.9593
_cell_length_b 10.0216
_cell_length_c 7.0766
_cell_angle_alpha 90.00
_cell_angle_beta 107.39
_cell_angle_gamma 90.00
loop_
_atom_site_label
_atom_site_type_symbol
_atom_site_fract_x
_atom_site_fract_y
_atom_site_fract_z
Cs1 Cs 0.0000 0.1713 0.0000
Cd1 Cd 0.0000 0.3363 0.5000
Ru1 Ru 0.0000 0.0000 0.5000
O1 O 0.1934 0.1413 0.6600
O2 O 0.2213 0.0000 0.3413

Values of total magnetization, in order: 0.000, 0.193, 0.000, 0.000, 0.000, 0.002, all in μB per formula unit.